# K2SiH (GGA-PBEsol, relaxed)
data_K2SiH
_space_group_name_H-M_alt 'F m -3 m'
_space_group_IT_number 225
_space_group_name_Hall '-F 4 2 3'
_cell_length_a 7.787
_cell_length_b 7.787
_cell_length_c 7.787
_cell_angle_alpha 90.00
_cell_angle_beta 90.00
_cell_angle_gamma 90.00
loop_
_atom_site_label
_atom_site_fract_x
_atom_site_fract_y
_atom_site_fract_z
K1 0.250 0.250 0.250
Si1 0.000 0.000 0.000
H1 0.000 0.000 0.500
# * DFT total energy: -0.162 Ry/atom